A plane-wave DFT calculation with PBE was carried out for an optimized crystal structure of ZrIn2OsSe.

- space-group type = P4/mmm
- volume (Å³/atom) = 25.6
- DOS at the Fermi energy (states/eV/f.u.) = 6.42
- E_form (uncorrected) (kJ/mol of atoms) = 74

a = 5.2741 Å, b = 4.6000 Å, c = 5.2741 Å
α = 90.00°, β = 90.00°, γ = 90.00°
Last column: magnetic moment on the atom in μB.
Positions (direct):
Os  0.0000  0.0000  0.0000  0.30
In  0.0000  0.0000  0.5000  0.01
In  0.5000  0.0000  0.0000  0.01
Se  0.0000  0.5000  0.0000  0.03
Zr  0.5000  0.5000  0.5000  0.86